{
  "formula": "ScAgS2",
  "functional": "PBE",
  "state": "optimized geometry",
  "cell": [[-7.0384, 1.1576, -0.5475], [-2.1517, -3.0060, 0.6800], [5.6286, -1.7805, 4.0371]],
  "species": ["S", "Ag", "S", "Sc"],
  "frac_coords": [[0.4427, 0.5828, 0.9432], [0.2880, 0.2498, 0.0692], [0.4946, 0.9165, 0.5566], [0.9735, 0.7497, 0.2547]],
  "e_form_raw_mev_per_atom": -1208,
  "dos_ef_per_ev_atom": 0.000,
  "spacegroup": "No. 5"
}